No. 1
NdErAg | PBE | optimized geometry

a b c (Å): 5.072 5.072 3.775
angles (deg): 90.00 90.00 120.00
Atoms (fractional coordinates):
Nd  0.000  0.000  0.000
Er  0.333  0.667  0.536
Ag  0.667  0.333  0.361

Computed properties:
energy above the most stable polymorph in this dataset: 140.7 meV/atom
crystal system: trigonal
electronic total energy: -4.09 eV/atom
D(E_F): 3.071 states/eV/cell
total magnetic moment: 0.0 μB/f.u.

---

No. 2
YEr2HgN | PBE | optimized geometry

a b c (Å): 4.750 4.750 4.805
angles (deg): 90.00 90.00 90.00
Atoms (fractional coordinates):
Y  0.000  0.000  0.000
Er  0.000  0.500  0.500
Er  0.500  0.000  0.500
Hg  0.500  0.500  0.000
N  0.000  0.000  0.500

Computed properties:
crystal system: tetragonal
electronic total energy: -5.79 eV/atom
D(E_F): 3.408 states/eV/cell
raw formation energy: -92 kJ per mole of atoms
total magnetic moment: 0.0 μB/f.u.

---

No. 3
TlNiTe2N | PBE | optimized geometry

a b c (Å): 5.780 5.780 3.424
angles (deg): 90.00 90.00 90.00
Atoms (fractional coordinates):
Tl  0.000  0.000  0.000
Ni  0.500  0.500  0.500
Te  0.000  0.500  0.500
Te  0.500  0.000  0.500
N  0.500  0.500  0.000

Computed properties:
energy above the most stable polymorph in this dataset: 0.0 meV/atom
crystal system: tetragonal
electronic total energy: -4.21 eV/atom
D(E_F): 3.238 states/eV/cell
raw formation energy: 33 kJ per mole of atoms
total magnetic moment: 0.0 μB/f.u.

---

No. 4
LaPm6Ho2Tm3 | PBE | optimized geometry

a b c (Å): 6.244 6.244 11.863
angles (deg): 95.02 95.02 120.00
Atoms (fractional coordinates):
La  0.000  0.000  0.000
Pm  0.085  0.419  0.254
Pm  0.249  0.249  0.746
Pm  0.419  0.085  0.254
Pm  0.581  0.915  0.746
Pm  0.751  0.751  0.254
Pm  0.915  0.581  0.746
Ho  0.334  0.666  0.000
Ho  0.666  0.334  0.000
Tm  0.167  0.833  0.500
Tm  0.500  0.500  0.500
Tm  0.833  0.167  0.500

Computed properties:
crystal system: monoclinic
electronic total energy: -4.65 eV/atom
D(E_F): 14.887 states/eV/cell
total magnetic moment: 0.0 μB/f.u.

---

No. 5
MgSc4Cr | PBE | optimized geometry

a b c (Å): 5.856 5.856 5.856
angles (deg): 60.00 60.00 60.00
Atoms (fractional coordinates):
Mg  0.000  0.000  0.000
Sc  0.127  0.624  0.624
Sc  0.624  0.127  0.624
Sc  0.624  0.624  0.127
Sc  0.624  0.624  0.624
Cr  0.250  0.250  0.250

Computed properties:
crystal system: cubic
electronic total energy: -5.63 eV/atom
D(E_F): 7.095 states/eV/cell
total magnetic moment: 3.8 μB/f.u.

---

No. 6
Na2TlIn | PBE | optimized geometry

a b c (Å): 11.063 11.063 11.063
angles (deg): 18.16 18.16 18.16
Atoms (fractional coordinates):
Na  0.249  0.249  0.249
Na  0.751  0.751  0.751
Tl  0.000  0.000  0.000
In  0.500  0.500  0.500

Computed properties:
energy above the most stable polymorph in this dataset: 65.7 meV/atom
crystal system: trigonal
electronic total energy: -1.99 eV/atom
D(E_F): 1.274 states/eV/cell
total magnetic moment: 0.0 μB/f.u.

---

No. 7
LiTeSCl2 | PBE | optimized geometry

a b c (Å): 5.368 5.368 5.206
angles (deg): 90.00 90.00 90.00
Atoms (fractional coordinates):
Li  0.000  0.000  0.000
Te  0.500  0.500  0.500
S  0.500  0.500  0.000
Cl  0.000  0.500  0.500
Cl  0.500  0.000  0.500

Computed properties:
energy above the most stable polymorph in this dataset: 0.0 meV/atom
crystal system: tetragonal
electronic total energy: -2.94 eV/atom
D(E_F): 1.640 states/eV/cell
raw formation energy: -35 kJ per mole of atoms
total magnetic moment: 0.0 μB/f.u.

---

No. 8
ThSnSe3 | PBE | optimized geometry

a b c (Å): 11.489 6.082 8.207
angles (deg): 90.00 100.15 90.00
Atoms (fractional coordinates):
Th  0.142  0.250  0.035
Th  0.142  0.250  0.535
Th  0.858  0.750  0.465
Th  0.858  0.750  0.965
Sn  0.388  0.702  0.345
Sn  0.388  0.798  0.845
Sn  0.612  0.202  0.155
Sn  0.612  0.298  0.655
Se  0.003  0.502  0.251
Se  0.003  0.998  0.751
Se  0.228  0.750  0.056
Se  0.228  0.750  0.556
Se  0.330  0.245  0.331
Se  0.330  0.255  0.831
Se  0.670  0.745  0.169
Se  0.670  0.755  0.669
Se  0.772  0.250  0.444
Se  0.772  0.250  0.944
Se  0.997  0.002  0.249
Se  0.997  0.498  0.749

Computed properties:
energy above the most stable polymorph in this dataset: 0.0 meV/atom
crystal system: monoclinic
electronic total energy: -5.51 eV/atom
D(E_F): 2.508 states/eV/cell
raw formation energy: -109 kJ per mole of atoms
total magnetic moment: 0.0 μB/f.u.

---

No. 9
Pr4Sm3Rh4 | PBE | optimized geometry

a b c (Å): 9.646 9.646 9.646
angles (deg): 157.31 123.53 61.64
Atoms (fractional coordinates):
Pr  0.022  0.836  0.187
Pr  0.351  0.164  0.187
Pr  0.649  0.836  0.813
Pr  0.978  0.164  0.813
Sm  0.000  0.500  0.500
Sm  0.401  0.401  0.000
Sm  0.599  0.599  0.000
Rh  0.260  0.760  0.500
Rh  0.280  0.000  0.280
Rh  0.720  0.000  0.720
Rh  0.740  0.240  0.500

Computed properties:
crystal system: orthorhombic
electronic total energy: -6.16 eV/atom
D(E_F): 8.392 states/eV/cell
total magnetic moment: 0.0 μB/f.u.

---

No. 10
Tl2PbF11 | PBE | optimized geometry

a b c (Å): 8.479 8.479 8.479
angles (deg): 122.28 106.14 100.84
Atoms (fractional coordinates):
Tl  0.195  0.169  0.363
Tl  0.305  0.669  0.974
Tl  0.695  0.331  0.026
Tl  0.805  0.831  0.637
Pb  0.250  0.750  0.500
Pb  0.750  0.250  0.500
F  0.000  0.000  0.000
F  0.021  0.446  0.774
F  0.068  0.839  0.642
F  0.172  0.946  0.425
F  0.186  0.895  0.081
F  0.197  0.427  0.358
F  0.303  0.661  0.229
F  0.314  0.395  0.708
F  0.328  0.753  0.774
F  0.432  0.073  0.771
F  0.479  0.253  0.425
F  0.500  0.500  0.000
F  0.521  0.747  0.575
F  0.568  0.927  0.229
F  0.672  0.247  0.226
F  0.686  0.605  0.292
F  0.697  0.339  0.771
F  0.803  0.573  0.642
F  0.814  0.105  0.919
F  0.828  0.054  0.575
F  0.932  0.161  0.358
F  0.979  0.554  0.226

Computed properties:
crystal system: orthorhombic
electronic total energy: -3.68 eV/atom
raw formation energy: -155 kJ per mole of atoms
total magnetic moment: 1.1 μB/f.u.

---

No. 11
CsK3H3 | PBE | optimized geometry

a b c (Å): 7.810 7.810 7.810
angles (deg): 90.00 90.00 90.00
Atoms (fractional coordinates):
Cs  0.000  0.000  0.000
Cs  0.500  0.500  0.500
K  0.000  0.250  0.500
K  0.000  0.750  0.500
K  0.250  0.500  0.000
K  0.500  0.000  0.250
K  0.500  0.000  0.750
K  0.750  0.500  0.000
H  0.000  0.500  0.250
H  0.000  0.500  0.750
H  0.250  0.000  0.500
H  0.500  0.250  0.000
H  0.500  0.750  0.000
H  0.750  0.000  0.500

Computed properties:
crystal system: cubic
electronic total energy: -2.04 eV/atom
D(E_F): 7.153 states/eV/cell
total magnetic moment: 0.5 μB/f.u.

---

No. 12
LiMgCo2 | PBE | optimized geometry

a b c (Å): 2.633 3.969 5.273
angles (deg): 90.00 102.67 90.00
Atoms (fractional coordinates):
Li  0.000  0.000  0.000
Mg  0.712  0.500  0.276
Co  0.225  0.500  0.747
Co  0.437  0.000  0.564

Computed properties:
crystal system: monoclinic
electronic total energy: -4.26 eV/atom
D(E_F): 3.004 states/eV/cell
total magnetic moment: 2.9 μB/f.u.

---

No. 13
Pm12DyTm7 | PBE | optimized geometry

a b c (Å): 11.480 11.480 11.480
angles (deg): 116.87 116.87 116.87
Atoms (fractional coordinates):
Pm  0.000  0.413  0.587
Pm  0.000  0.587  0.413
Pm  0.085  0.085  0.438
Pm  0.085  0.438  0.085
Pm  0.413  0.000  0.587
Pm  0.413  0.587  0.000
Pm  0.438  0.085  0.085
Pm  0.562  0.915  0.915
Pm  0.587  0.000  0.413
Pm  0.587  0.413  0.000
Pm  0.915  0.562  0.915
Pm  0.915  0.915  0.562
Dy  0.500  0.500  0.500
Tm  0.000  0.000  0.000
Tm  0.131  0.374  0.374
Tm  0.374  0.131  0.374
Tm  0.374  0.374  0.131
Tm  0.626  0.626  0.869
Tm  0.626  0.869  0.626
Tm  0.869  0.626  0.626

Computed properties:
energy above the most stable polymorph in this dataset: 20.4 meV/atom
crystal system: trigonal
electronic total energy: -4.40 eV/atom
D(E_F): 28.720 states/eV/cell
total magnetic moment: 0.0 μB/f.u.

---

No. 14
Ac8LaPr2 | PBE | optimized geometry

a b c (Å): 10.231 10.231 10.231
angles (deg): 145.86 126.51 65.00
Atoms (fractional coordinates):
Ac  0.149  0.357  0.793
Ac  0.158  0.158  0.000
Ac  0.296  0.000  0.296
Ac  0.436  0.643  0.793
Ac  0.564  0.357  0.207
Ac  0.704  0.000  0.704
Ac  0.842  0.842  0.000
Ac  0.851  0.643  0.207
La  0.000  0.500  0.500
Pr  0.300  0.800  0.500
Pr  0.700  0.200  0.500

Computed properties:
energy above the most stable polymorph in this dataset: 0.0 meV/atom
crystal system: orthorhombic
electronic total energy: -4.20 eV/atom
D(E_F): 19.474 states/eV/cell
total magnetic moment: 0.0 μB/f.u.

---

No. 15
CaPd2Ru2 | PBE | optimized geometry

a b c (Å): 7.775 7.775 2.840
angles (deg): 90.00 90.00 90.00
Atoms (fractional coordinates):
Ca  0.000  0.000  0.000
Ca  0.500  0.500  0.000
Pd  0.186  0.314  0.500
Pd  0.314  0.814  0.500
Pd  0.686  0.186  0.500
Pd  0.814  0.686  0.500
Ru  0.110  0.610  0.000
Ru  0.390  0.110  0.000
Ru  0.610  0.890  0.000
Ru  0.890  0.390  0.000

Computed properties:
crystal system: tetragonal
electronic total energy: -6.07 eV/atom
D(E_F): 16.507 states/eV/cell
total magnetic moment: 0.0 μB/f.u.

---

No. 16
Ni2PtRh3 | PBE | optimized geometry

a b c (Å): 6.016 6.016 8.390
angles (deg): 115.15 115.15 36.73
Atoms (fractional coordinates):
Ni  0.043  0.043  0.375
Ni  0.291  0.291  0.623
Ni  0.709  0.709  0.377
Ni  0.957  0.957  0.625
Pt  0.374  0.374  0.384
Pt  0.626  0.626  0.616
Rh  0.124  0.124  0.128
Rh  0.209  0.209  0.875
Rh  0.461  0.461  0.129
Rh  0.539  0.539  0.871
Rh  0.791  0.791  0.125
Rh  0.876  0.876  0.872

Computed properties:
energy above the most stable polymorph in this dataset: 0.0 meV/atom
crystal system: monoclinic
electronic total energy: -6.60 eV/atom
D(E_F): 19.997 states/eV/cell
total magnetic moment: 2.2 μB/f.u.

---

No. 17
Tb4Er5Th4 | PBE | optimized geometry

a b c (Å): 9.388 9.388 9.388
angles (deg): 94.11 94.11 148.94
Atoms (fractional coordinates):
Tb  0.153  0.233  0.385
Tb  0.233  0.847  0.080
Tb  0.767  0.153  0.920
Tb  0.847  0.767  0.615
Er  0.000  0.000  0.000
Er  0.306  0.461  0.768
Er  0.461  0.694  0.155
Er  0.539  0.306  0.845
Er  0.694  0.539  0.232
Th  0.076  0.613  0.689
Th  0.387  0.076  0.463
Th  0.613  0.924  0.537
Th  0.924  0.387  0.311

Computed properties:
crystal system: tetragonal
electronic total energy: -5.43 eV/atom
D(E_F): 17.598 states/eV/cell
total magnetic moment: 0.0 μB/f.u.

---

No. 18
Cr3GaFe3As2 | PBE | optimized geometry

a b c (Å): 5.985 5.985 3.823
angles (deg): 90.00 90.00 120.00
Atoms (fractional coordinates):
Cr  0.000  0.427  0.000
Cr  0.427  0.000  0.000
Cr  0.573  0.573  0.000
Ga  0.000  0.000  0.000
Fe  0.000  0.758  0.500
Fe  0.242  0.242  0.500
Fe  0.758  0.000  0.500
As  0.333  0.667  0.500
As  0.667  0.333  0.500

Computed properties:
crystal system: hexagonal
electronic total energy: -7.42 eV/atom
D(E_F): 7.392 states/eV/cell
total magnetic moment: 5.0 μB/f.u.

---

No. 19
Ce3Ga2Ag3 | PBE | optimized geometry

a b c (Å): 5.885 5.885 15.235
angles (deg): 90.00 90.00 134.19
Atoms (fractional coordinates):
Ce  0.089  0.911  0.602
Ce  0.089  0.911  0.898
Ce  0.367  0.633  0.750
Ce  0.633  0.367  0.250
Ce  0.911  0.089  0.102
Ce  0.911  0.089  0.398
Ga  0.204  0.796  0.105
Ga  0.204  0.796  0.395
Ga  0.796  0.204  0.605
Ga  0.796  0.204  0.895
Ag  0.345  0.655  0.250
Ag  0.381  0.619  0.539
Ag  0.381  0.619  0.961
Ag  0.619  0.381  0.039
Ag  0.619  0.381  0.461
Ag  0.655  0.345  0.750

Computed properties:
crystal system: orthorhombic
electronic total energy: -4.32 eV/atom
D(E_F): 41.263 states/eV/cell
total magnetic moment: 2.7 μB/f.u.

---

No. 20
ZnIn2Br | PBE | optimized geometry

a b c (Å): 8.361 8.361 8.361
angles (deg): 134.87 134.87 65.74
Atoms (fractional coordinates):
Zn  0.000  0.000  0.000
Zn  0.750  0.250  0.500
In  0.070  0.625  0.945
In  0.375  0.320  0.445
In  0.680  0.125  0.055
In  0.875  0.930  0.555
Br  0.250  0.750  0.500
Br  0.500  0.500  0.000

Computed properties:
energy above the most stable polymorph in this dataset: 127.0 meV/atom
crystal system: tetragonal
electronic total energy: -2.12 eV/atom
D(E_F): 8.059 states/eV/cell
raw formation energy: -2 kJ per mole of atoms
total magnetic moment: 0.0 μB/f.u.